4
Lattice="-3.4969 -1.5094 -1.5196 -0.1881 -1.1884 -3.9202 0.3485 -6.0485 -0.3286" Properties=species:S:1:pos:R:3 comment="PBE-GGA LaCr2Re, optimized geometry" crystal_system=trigonal final_energy_ev_per_atom=-8.7622 delta_e_f_mev_per_atom=393 pbc="T T T"
Re -1.0723 -1.4092 -1.6664
Cr -2.2129 -7.5059 -4.0538
Cr 0.2924 -5.8665 -0.3815
La -1.6635 -4.3862 -2.8794

---

4
Lattice="8.9679 -0.0046 -0.0027 7.9901 4.0722 -0.0027 7.9901 1.9165 3.5930" Properties=species:S:1:pos:R:3 comment="PBE-GGA Sr2CoSb, optimized geometry" crystal_system=trigonal final_energy_ev_per_atom=-3.5302 raw_formation_energy_kj_per_mol_atoms=11.4 pbc="T T T"
Sr 24.7844 5.9449 3.5640
Sr 12.6377 3.0313 1.8173
Co 6.2370 1.4960 0.8969
Sb 18.7110 4.4881 2.6907

---

10
Lattice="7.7685 0.0000 0.0000 0.0000 7.7685 0.0000 0.0000 0.0000 2.7682" Properties=species:S:1:pos:R:3 comment="PBE-GGA SrZn2Fe2, optimized geometry" crystal_system=tetragonal final_energy_ev_per_atom=-3.9839 delta_e_f_mev_per_atom=247 pbc="T T T"
Fe 0.8537 3.0306 0.0000
Fe 3.0306 6.9148 0.0000
Fe 4.7379 0.8537 0.0000
Fe 6.9148 4.7379 0.0000
Sr 3.8842 3.8842 0.0000
Sr 0.0000 0.0000 0.0000
Zn 5.2380 6.4146 1.3841
Zn 2.5304 1.3538 1.3841
Zn 6.4146 2.5304 1.3841
Zn 1.3538 5.2380 1.3841

---

6
Lattice="5.0457 -1.2799 0.4112 2.5834 0.9582 4.4355 1.4469 -3.9563 3.0855" Properties=species:S:1:pos:R:3 comment="PBE-GGA MoIr4Br, optimized geometry" crystal_system=cubic final_energy_ev_per_atom=-7.1069 raw_formation_energy_kj_per_mol_atoms=85.3 pbc="T T T"
Ir 4.6950 -1.1267 5.1905
Ir 3.4052 -1.6050 2.9761
Ir 4.1276 -3.5802 4.5165
Ir 5.9243 -2.2440 3.1814
Mo 6.8070 -3.2085 5.9492
Br 0.0000 0.0000 0.0000